{
  "formula": "MgCdPb2",
  "functional": "PBE",
  "state": "optimized geometry",
  "lattice": [[8.448, 0.000, 0.000], [0.000, 8.448, 0.000], [0.000, 0.000, 6.452]],
  "species": ["Mg", "Mg", "Mg", "Mg", "Cd", "Cd", "Cd", "Cd", "Pb", "Pb", "Pb", "Pb", "Pb", "Pb", "Pb", "Pb"],
  "fractional_positions": [[0.000, 0.000, 0.000], [0.000, 0.500, 0.250], [0.500, 0.000, 0.750], [0.500, 0.500, 0.500], [0.000, 0.000, 0.500], [0.000, 0.500, 0.750], [0.500, 0.000, 0.250], [0.500, 0.500, 0.000], [0.247, 0.250, 0.625], [0.250, 0.747, 0.875], [0.250, 0.753, 0.375], [0.253, 0.250, 0.125], [0.747, 0.750, 0.125], [0.750, 0.247, 0.375], [0.750, 0.253, 0.875], [0.753, 0.750, 0.625]],
  "formation_energy_ev_per_atom": 0.139,
  "vol_a3_per_cell": 460.49,
  "sg": "No. 122",
  "e_above_lowest_polymorph_ev_per_fu": 0.66,
  "magnetic_moment_mub_per_atom": 0.000
}